Entry 1:
Ti3In2Cu4 | PBE-GGA | relaxed

Calculated values
crystal system = trigonal
energy = -5.162 eV/atom

Cell: 4.4198 4.4198 8.3162 Å, 90.00 90.00 120.00°
With the nearest neighbours (Å) after each atom.
Fractional positions:
Ti (0.0000, 0.0000, 0.0000)  8 Cu 2.67-2.91
Ti (0.3333, 0.6667, 0.4232)  4 Cu 2.62-2.72, 3 Ti 2.85, 1 In 2.92
Ti (0.6667, 0.3333, 0.5768)  4 Cu 2.62-2.72, 3 Ti 2.85, 1 In 2.92
In (0.3333, 0.6667, 0.7744)  7 Cu 2.67-2.77, 1 Ti 2.92
In (0.6667, 0.3333, 0.2256)  7 Cu 2.67-2.77, 1 Ti 2.92
Cu (0.0000, 0.0000, 0.3503)  1 Cu 2.49, 3 Ti 2.62, 3 In 2.75
Cu (0.0000, 0.0000, 0.6497)  1 Cu 2.49, 3 Ti 2.62, 3 In 2.75
Cu (0.3333, 0.6667, 0.0958)  4 In 2.67-2.77, 4 Ti 2.67-2.72
Cu (0.6667, 0.3333, 0.9042)  4 In 2.67-2.77, 4 Ti 2.67-2.72



Entry 2:
Zn2CdCu | PBE-GGA | relaxed

Calculated values
crystal system = orthorhombic
energy = -1.820 eV/atom

Cell: 5.2827 5.2827 5.2827 Å, 145.82 129.72 62.21°
With the nearest neighbours (Å) after each atom.
Fractional positions:
Zn (0.0000, 0.0000, 0.0000)  4 Cu 2.74, 2 Zn 2.77, 4 Cd 2.91-3.04
Zn (0.7464, 0.2464, 0.5000)  2 Cu 2.54, 4 Cd 2.74, 2 Zn 2.77
Cd (0.2726, 0.7726, 0.5000)  8 Zn 2.74-3.04, 2 Cu 2.76
Cu (0.5244, 0.5244, 0.0000)  6 Zn 2.54-2.74, 2 Cd 2.76



Entry 3:
Hg2MoAu | PBE-GGA | relaxed

Calculated values
crystal system = monoclinic
energy = -3.155 eV/atom

Cell: 2.8820 4.7689 5.6198 Å, 90.00 94.36 90.00°
With the nearest neighbours (Å) after each atom.
Fractional positions:
Hg (0.1858, 0.0000, 0.2420)  4 Hg 2.85-3.17, 2 Au 2.86, 2 Mo 2.92
Hg (0.8142, 0.0000, 0.7580)  4 Hg 2.85-3.17, 2 Au 2.86, 2 Mo 2.92
Mo (0.5000, 0.5000, 0.0000)  2 Mo 2.88, 4 Hg 2.92, 2 Au 3.06
Au (0.0000, 0.5000, 0.5000)  4 Hg 2.86, 2 Au 2.88, 2 Mo 3.06



Entry 4:
InAgS2 | PBE-GGA | relaxed

Calculated values
crystal system = orthorhombic
raw formation energy = -426 meV/atom
energy = -3.887 eV/atom

Cell: 7.1530 8.3536 6.8057 Å, 90.00 90.00 90.00°
With the nearest neighbours (Å) after each atom.
Fractional positions:
In (0.0729, 0.1290, 0.0000)  4 S 2.50-2.52
In (0.4271, 0.6290, 0.5000)  4 S 2.50-2.52
In (0.5729, 0.3710, 0.0000)  4 S 2.50-2.52
In (0.9271, 0.8710, 0.5000)  4 S 2.50-2.52
Ag (0.0879, 0.6307, 0.0077)  4 S 2.57-2.62
Ag (0.4121, 0.1307, 0.5077)  4 S 2.57-2.62
Ag (0.5879, 0.8693, 0.0077)  4 S 2.57-2.62
Ag (0.9121, 0.3693, 0.5077)  4 S 2.57-2.62
S (0.0763, 0.1199, 0.3697)  2 In 2.50-2.52, 2 Ag 2.57-2.58
S (0.0929, 0.6241, 0.3859)  2 In 2.50-2.51, 2 Ag 2.57-2.62
S (0.4071, 0.1241, 0.8859)  2 In 2.50-2.51, 2 Ag 2.57-2.62
S (0.4237, 0.6199, 0.8697)  2 In 2.50-2.52, 2 Ag 2.57-2.58
S (0.5763, 0.3801, 0.3697)  2 In 2.50-2.52, 2 Ag 2.57-2.58
S (0.5929, 0.8759, 0.3859)  2 In 2.50-2.51, 2 Ag 2.57-2.62
S (0.9071, 0.3759, 0.8859)  2 In 2.50-2.51, 2 Ag 2.57-2.62
S (0.9237, 0.8801, 0.8697)  2 In 2.50-2.52, 2 Ag 2.57-2.58



Entry 5:
Rb2PaInI6 | PBE-GGA | relaxed

Calculated values
crystal system = trigonal
raw formation energy = -971 meV/atom
energy = -3.318 eV/atom

Cell: 15.1890 15.1890 15.1890 Å, 35.16 35.16 35.16°
With the nearest neighbours (Å) after each atom.
Fractional positions:
Rb (0.1293, 0.1293, 0.1293)  6 I 3.97-4.44
Rb (0.2718, 0.2718, 0.2718)  3 I 3.88
Rb (0.7282, 0.7282, 0.7282)  3 I 3.88
Rb (0.8707, 0.8707, 0.8707)  6 I 3.97-4.44
Pa (0.0000, 0.0000, 0.0000)  6 I 3.07
Pa (0.5000, 0.5000, 0.5000)  6 I 3.20, 2 In 3.45
In (0.4191, 0.4191, 0.4191)  6 I 3.37-3.43, 1 Pa 3.45
In (0.5809, 0.5809, 0.5809)  6 I 3.37-3.43, 1 Pa 3.45
I (0.1099, 0.6421, 0.6421)  1 Pa 3.20, 1 In 3.43
I (0.1981, 0.1981, 0.7327)  1 Pa 3.07, 1 In 3.37
I (0.1981, 0.7327, 0.1981)  1 Pa 3.07, 1 In 3.37
I (0.2673, 0.8019, 0.8019)  1 Pa 3.07, 1 In 3.37
I (0.3579, 0.3579, 0.8901)  1 Pa 3.20, 1 In 3.43
I (0.3579, 0.8901, 0.3579)  1 Pa 3.20, 1 In 3.43
I (0.6421, 0.1099, 0.6421)  1 Pa 3.20, 1 In 3.43
I (0.6421, 0.6421, 0.1099)  1 Pa 3.20, 1 In 3.43
I (0.7327, 0.1981, 0.1981)  1 Pa 3.07, 1 In 3.37
I (0.8019, 0.2673, 0.8019)  1 Pa 3.07, 1 In 3.37
I (0.8019, 0.8019, 0.2673)  1 Pa 3.07, 1 In 3.37
I (0.8901, 0.3579, 0.3579)  1 Pa 3.20, 1 In 3.43



- energy of number 3 (Hg2MoAu)?
  -3.155 eV/atom